Arrangement a

Here is K6RbAu after structural relaxation from the Alexandria database. Energies are from GGA-PBE.

Properties
total magnetic moment	0.000	μB/f.u.

a = 10.6294 Å, b = 12.8630 Å, c = 8.3290 Å
α = 90.00°, β = 106.97°, γ = 90.00°
With the nearest neighbours (Å) after each atom.
Space group C2/m (No. 12)
Symmetry-distinct sites (fractional):
K (0.0945, 0.1857, 0.2789) (multiplicity 8)  1 Au 3.28
K (0.2212, 0.5000, 0.0947) (multiplicity 4)  1 Au 3.28
Rb (0.0000, 0.5000, 0.5000) (multiplicity 2)  12 K 4.64-4.82
Au (0.0000, 0.0000, 0.0000) (multiplicity 2)  6 K 3.28

***

Arrangement b

Here is K6RbAu after structural relaxation from the Alexandria database. Energies are from GGA-PBE.

Properties
total magnetic moment	0.000	μB/f.u.

a = 4.9578 Å, b = 13.4405 Å, c = 15.1630 Å
α = 90.00°, β = 90.00°, γ = 90.00°
With the nearest neighbours (Å) after each atom.
Space group Amm2 (No. 38)
Symmetry-distinct sites (fractional):
K (0.0000, 0.0000, 0.0000) (multiplicity 2)  2 Au 3.38
K (0.0000, 0.1615, 0.2510) (multiplicity 4)  2 Au 3.62
K (0.5000, 0.0000, 0.7595) (multiplicity 2)  2 K 4.41, 2 Rb 4.54
K (0.5000, 0.2308, 0.0245) (multiplicity 4)  1 Au 3.65, 2 K 3.99
Rb (0.0000, 0.0000, 0.5082) (multiplicity 2)  8 K 4.39-4.54
Au (0.5000, 0.0000, 0.1514) (multiplicity 2)  8 K 3.38-3.65

***

The energy of each structure relative to the most stable one, in meV/atom, is as follows: arrangement a 0; arrangement b 16.

***

Arrangement a

Here is KRbAuS2 after structural relaxation from the Alexandria database. Energies are from GGA-PBE.

Properties
total magnetic moment	2.478	μB/f.u.

a = 6.0384 Å, b = 6.0384 Å, c = 6.0767 Å
α = 90.00°, β = 90.00°, γ = 90.00°
With the nearest neighbours (Å) after each atom.
Space group P4/mmm (No. 123)
Symmetry-distinct sites (fractional):
K (0.0000, 0.0000, 0.0000) (multiplicity 1)  4 Au 4.27, 8 S 4.28
Rb (0.5000, 0.5000, 0.5000) (multiplicity 1)  4 S 3.02, 2 Au 3.04
Au (0.5000, 0.5000, 0.0000) (multiplicity 1)  2 Rb 3.04
S (0.0000, 0.5000, 0.5000) (multiplicity 2)  2 Rb 3.02

***

Arrangement b

Here is KRbAuS2 after structural relaxation from the Alexandria database. Energies are from GGA-PBE.

Properties
total magnetic moment	1.042	μB/f.u.

a = 9.0680 Å, b = 15.4769 Å, c = 5.3996 Å
α = 90.00°, β = 90.00°, γ = 90.00°
With the nearest neighbours (Å) after each atom.
Space group Cmme (No. 67)
Symmetry-distinct sites (fractional):
K (0.2500, 0.0000, 0.0000) (multiplicity 4)  4 S 3.24, 4 Au 3.53
Rb (0.0000, 0.2500, 0.2481) (multiplicity 4)  4 S 3.34-3.39
Au (0.0000, 0.0000, 0.5000) (multiplicity 4)  2 S 2.27
S (0.0000, 0.1199, 0.7427) (multiplicity 8)  1 Au 2.27

***

The energy of each structure relative to the most stable one, in meV/atom, is as follows: arrangement a 1107; arrangement b 0.

***

Arrangement a

Here is K2RbSbAu after structural relaxation from the Alexandria database. Energies are from GGA-PBE.

Properties
total magnetic moment	1.000	μB/f.u.

a = 6.1603 Å, b = 6.1603 Å, c = 6.3914 Å
α = 90.00°, β = 90.00°, γ = 90.00°
With the nearest neighbours (Å) after each atom.
Space group P4/mmm (No. 123)
Symmetry-distinct sites (fractional):
K (0.0000, 0.5000, 0.0000) (multiplicity 2)  2 Au 3.08
Rb (0.0000, 0.0000, 0.5000) (multiplicity 1)  2 Au 3.20
Sb (0.5000, 0.5000, 0.5000) (multiplicity 1)  4 Rb 4.36, 8 K 4.44
Au (0.0000, 0.0000, 0.0000) (multiplicity 1)  4 K 3.08, 2 Rb 3.20

***

Arrangement b

Here is K2RbSbAu after structural relaxation from the Alexandria database. Energies are from GGA-PBE.

Properties
total magnetic moment	0.575	μB/f.u.

a = 6.4347 Å, b = 6.4347 Å, c = 5.3802 Å
α = 90.00°, β = 90.00°, γ = 90.00°
With the nearest neighbours (Å) after each atom.
Space group P4/mmm (No. 123)
Symmetry-distinct sites (fractional):
K (0.0000, 0.5000, 0.0000) (multiplicity 2)  2 Au 3.22
Rb (0.0000, 0.0000, 0.5000) (multiplicity 1)  8 K 4.19, 4 Sb 4.55
Sb (0.5000, 0.5000, 0.5000) (multiplicity 1)  2 Au 2.69
Au (0.5000, 0.5000, 0.0000) (multiplicity 1)  2 Sb 2.69

***

The energy of each structure relative to the most stable one, in meV/atom, is as follows: arrangement a 124; arrangement b 0.

***

Arrangement a

Here is K2RbSiAu after structural relaxation from the Alexandria database. Energies are from GGA-PBE.

Properties
total magnetic moment	0.099	μB/f.u.

a = 6.5817 Å, b = 6.5817 Å, c = 4.7344 Å
α = 90.00°, β = 90.00°, γ = 90.00°
With the nearest neighbours (Å) after each atom.
Space group P4/mmm (No. 123)
Symmetry-distinct sites (fractional):
K (0.0000, 0.5000, 0.0000) (multiplicity 2)  2 Au 3.29
Rb (0.0000, 0.0000, 0.5000) (multiplicity 1)  8 K 4.05
Si (0.5000, 0.5000, 0.5000) (multiplicity 1)  2 Au 2.37
Au (0.5000, 0.5000, 0.0000) (multiplicity 1)  2 Si 2.37

***

Arrangement b

Here is K2RbSiAu after structural relaxation from the Alexandria database. Energies are from GGA-PBE.

Properties
total magnetic moment	0.001	μB/f.u.

a = 6.6476 Å, b = 6.6476 Å, c = 4.7252 Å
α = 90.00°, β = 90.00°, γ = 90.00°
With the nearest neighbours (Å) after each atom.
Space group P4/mmm (No. 123)
Symmetry-distinct sites (fractional):
K (0.0000, 0.5000, 0.0000) (multiplicity 2)  2 Si 3.32
Rb (0.0000, 0.0000, 0.5000) (multiplicity 1)  8 K 4.08
Si (0.5000, 0.5000, 0.0000) (multiplicity 1)  2 Au 2.36
Au (0.5000, 0.5000, 0.5000) (multiplicity 1)  2 Si 2.36

***

The energy of each structure relative to the most stable one, in meV/atom, is as follows: arrangement a 0; arrangement b 28.

***

Arrangement a

Here is KRbTe2Au after structural relaxation from the Alexandria database. Energies are from GGA-PBE.

Properties
total magnetic moment	0.000	μB/f.u.

a = 6.3894 Å, b = 6.3894 Å, c = 6.2263 Å
α = 90.00°, β = 90.00°, γ = 90.00°
With the nearest neighbours (Å) after each atom.
Space group P4/mmm (No. 123)
Symmetry-distinct sites (fractional):
K (0.0000, 0.0000, 0.0000) (multiplicity 1)  2 Rb 3.11
Rb (0.0000, 0.0000, 0.5000) (multiplicity 1)  2 K 3.11, 4 Te 3.19
Te (0.0000, 0.5000, 0.5000) (multiplicity 2)  2 Rb 3.19
Au (0.5000, 0.5000, 0.0000) (multiplicity 1)  8 Te 4.46, 4 K 4.52

***

Arrangement b

Here is KRbTe2Au after structural relaxation from the Alexandria database. Energies are from GGA-PBE.

Properties
total magnetic moment	0.000	μB/f.u.

a = 7.8033 Å, b = 17.7257 Å, c = 6.0257 Å
α = 90.00°, β = 90.00°, γ = 90.00°
With the nearest neighbours (Å) after each atom.
Space group Cmme (No. 67)
Symmetry-distinct sites (fractional):
K (0.2500, 0.0000, 0.0000) (multiplicity 4)  4 Te 3.59, 4 Au 3.59, 2 K 3.90
Rb (0.0000, 0.2500, 0.2040) (multiplicity 4)  4 Te 3.58-3.76
Te (0.0000, 0.1319, 0.6855) (multiplicity 8)  1 Au 2.59
Au (0.0000, 0.0000, 0.5000) (multiplicity 4)  2 Te 2.59

***

The energy of each structure relative to the most stable one, in meV/atom, is as follows: arrangement a 1119; arrangement b 0.

***

Arrangement a

Here is KRbZn2Au after structural relaxation from the Alexandria database. Energies are from GGA-PBE.

Properties
total magnetic moment	0.000	μB/f.u.

a = 5.1673 Å, b = 5.1673 Å, c = 6.3118 Å
α = 90.00°, β = 90.00°, γ = 90.00°
With the nearest neighbours (Å) after each atom.
Space group P4/mmm (No. 123)
Symmetry-distinct sites (fractional):
K (0.0000, 0.0000, 0.0000) (multiplicity 1)  4 Rb 3.65, 8 Zn 4.08
Rb (0.5000, 0.5000, 0.0000) (multiplicity 1)  2 Au 3.16
Zn (0.0000, 0.5000, 0.5000) (multiplicity 2)  2 Au 2.58
Au (0.5000, 0.5000, 0.5000) (multiplicity 1)  4 Zn 2.58

***

Arrangement b

Here is KRbZn2Au after structural relaxation from the Alexandria database. Energies are from GGA-PBE.

Properties
total magnetic moment	0.000	μB/f.u.

a = 5.1797 Å, b = 5.1797 Å, c = 6.1099 Å
α = 90.00°, β = 90.00°, γ = 90.00°
With the nearest neighbours (Å) after each atom.
Space group P4/mmm (No. 123)
Symmetry-distinct sites (fractional):
K (0.0000, 0.0000, 0.0000) (multiplicity 1)  2 Au 3.05
Rb (0.5000, 0.5000, 0.0000) (multiplicity 1)  4 K 3.66, 8 Zn 4.01
Zn (0.0000, 0.5000, 0.5000) (multiplicity 2)  2 Au 2.59
Au (0.0000, 0.0000, 0.5000) (multiplicity 1)  4 Zn 2.59

***

The energy of each structure relative to the most stable one, in meV/atom, is as follows: arrangement a 38; arrangement b 0.